BaNaNbNi: relaxed, PBE.

## Properties
Energy above the most stable polymorph in this dataset ... 0.000 eV per atom
Calculated total energy ... -3.780 eV per atom
Size of the total moment ... 3.49 μB/f.u.

a b c (Å): 7.313 7.313 7.313
angles (deg): 90.00 90.00 90.00
Positions (direct):
1 Ba 0.000 0.000 0.000
2 Ba 0.000 0.500 0.500
3 Ba 0.500 0.000 0.500
4 Ba 0.500 0.500 0.000
5 Na 0.250 0.250 0.750
6 Na 0.250 0.750 0.250
7 Na 0.750 0.250 0.250
8 Na 0.750 0.750 0.750
9 Nb 0.000 0.000 0.500
10 Nb 0.000 0.500 0.000
11 Nb 0.500 0.000 0.000
12 Nb 0.500 0.500 0.500
13 Ni 0.250 0.250 0.250
14 Ni 0.250 0.750 0.750
15 Ni 0.750 0.250 0.750
16 Ni 0.750 0.750 0.250

---

BaNaNbPd: relaxed, PBE.

## Properties
Energy above the most stable polymorph in this dataset ... 0.162 eV per atom
Calculated total energy ... -3.823 eV per atom
Size of the total moment ... 4.16 μB/f.u.

a b c (Å): 7.538 7.538 7.538
angles (deg): 90.00 90.00 90.00
Positions (direct):
1 Ba 0.000 0.000 0.000
2 Ba 0.000 0.500 0.500
3 Ba 0.500 0.000 0.500
4 Ba 0.500 0.500 0.000
5 Na 0.000 0.000 0.500
6 Na 0.000 0.500 0.000
7 Na 0.500 0.000 0.000
8 Na 0.500 0.500 0.500
9 Nb 0.250 0.250 0.750
10 Nb 0.250 0.750 0.250
11 Nb 0.750 0.250 0.250
12 Nb 0.750 0.750 0.750
13 Pd 0.250 0.250 0.250
14 Pd 0.250 0.750 0.750
15 Pd 0.750 0.250 0.750
16 Pd 0.750 0.750 0.250

---

BaNaNbPd: relaxed, PBE.

## Properties
Energy above the most stable polymorph in this dataset ... 0.027 eV per atom
Calculated total energy ... -3.959 eV per atom
Size of the total moment ... 0.02 μB/f.u.

a b c (Å): 7.145 7.145 7.145
angles (deg): 90.00 90.00 90.00
Positions (direct):
1 Ba 0.000 0.000 0.000
2 Ba 0.000 0.500 0.500
3 Ba 0.500 0.000 0.500
4 Ba 0.500 0.500 0.000
5 Na 0.250 0.250 0.750
6 Na 0.250 0.750 0.250
7 Na 0.750 0.250 0.250
8 Na 0.750 0.750 0.750
9 Nb 0.250 0.250 0.250
10 Nb 0.250 0.750 0.750
11 Nb 0.750 0.250 0.750
12 Nb 0.750 0.750 0.250
13 Pd 0.000 0.000 0.500
14 Pd 0.000 0.500 0.000
15 Pd 0.500 0.000 0.000
16 Pd 0.500 0.500 0.500

---

BaNaNbPd: relaxed, PBE.

## Properties
Energy above the most stable polymorph in this dataset ... 0.000 eV per atom
Calculated total energy ... -3.985 eV per atom
Size of the total moment ... 3.78 μB/f.u.

a b c (Å): 7.470 7.470 7.470
angles (deg): 90.00 90.00 90.00
Positions (direct):
1 Ba 0.000 0.000 0.000
2 Ba 0.000 0.500 0.500
3 Ba 0.500 0.000 0.500
4 Ba 0.500 0.500 0.000
5 Na 0.250 0.250 0.250
6 Na 0.250 0.750 0.750
7 Na 0.750 0.250 0.750
8 Na 0.750 0.750 0.250
9 Nb 0.000 0.000 0.500
10 Nb 0.000 0.500 0.000
11 Nb 0.500 0.000 0.000
12 Nb 0.500 0.500 0.500
13 Pd 0.250 0.250 0.750
14 Pd 0.250 0.750 0.250
15 Pd 0.750 0.250 0.250
16 Pd 0.750 0.750 0.750

---

Ba3NaNd3Si6O20: relaxed, PBE.

## Properties
Calculated total energy ... -7.678 eV per atom
Size of the total moment ... 0.01 μB/f.u.

a b c (Å): 14.834 12.372 12.372
angles (deg): 153.97 90.00 90.00
Positions (direct):
1 Ba 0.114 0.244 0.756
2 Ba 0.250 0.083 0.919
3 Ba 0.386 0.244 0.756
4 Ba 0.614 0.756 0.244
5 Ba 0.750 0.919 0.083
6 Ba 0.886 0.756 0.244
7 Na 0.250 0.318 0.541
8 Na 0.750 0.541 0.318
9 Nd 0.000 0.082 0.082
10 Nd 0.031 0.685 0.463
11 Nd 0.469 0.685 0.463
12 Nd 0.500 0.082 0.082
13 Nd 0.531 0.463 0.685
14 Nd 0.969 0.463 0.685
15 Si 0.057 0.884 0.190
16 Si 0.141 0.515 0.514
17 Si 0.250 0.716 0.353
18 Si 0.250 0.789 0.166
19 Si 0.359 0.515 0.514
20 Si 0.443 0.884 0.190
21 Si 0.557 0.190 0.884
22 Si 0.641 0.514 0.515
23 Si 0.750 0.166 0.789
24 Si 0.750 0.353 0.716
25 Si 0.859 0.514 0.515
26 Si 0.943 0.190 0.884
27 O 0.002 0.094 0.445
28 O 0.031 0.862 0.043
29 O 0.034 0.612 0.994
30 O 0.085 0.370 0.477
31 O 0.110 0.798 0.746
32 O 0.122 0.364 0.265
33 O 0.163 0.835 0.521
34 O 0.166 0.955 0.267
35 O 0.250 0.422 0.068
36 O 0.250 0.503 0.880
37 O 0.250 0.506 0.539
38 O 0.250 0.857 0.358
39 O 0.334 0.955 0.267
40 O 0.337 0.835 0.521
41 O 0.378 0.364 0.265
42 O 0.390 0.798 0.746
43 O 0.415 0.370 0.477
44 O 0.466 0.612 0.994
45 O 0.469 0.862 0.043
46 O 0.498 0.094 0.445
47 O 0.502 0.445 0.094
48 O 0.531 0.043 0.862
49 O 0.534 0.994 0.612
50 O 0.585 0.477 0.370
51 O 0.610 0.746 0.798
52 O 0.622 0.265 0.364
53 O 0.663 0.521 0.835
54 O 0.666 0.267 0.955
55 O 0.750 0.068 0.422
56 O 0.750 0.358 0.857
57 O 0.750 0.539 0.506
58 O 0.750 0.880 0.503
59 O 0.834 0.267 0.955
60 O 0.837 0.521 0.835
61 O 0.878 0.265 0.364
62 O 0.890 0.746 0.798
63 O 0.915 0.477 0.370
64 O 0.966 0.994 0.612
65 O 0.969 0.043 0.862
66 O 0.998 0.445 0.094

---

BaNaNdSe3: relaxed, PBE.

## Properties
Calculated total energy ... -4.758 eV per atom
Size of the total moment ... 0.00 μB/f.u.

a b c (Å): 7.544 7.544 11.142
angles (deg): 90.00 90.00 145.49
Positions (direct):
1 Ba 0.247 0.753 0.750
2 Ba 0.753 0.247 0.250
3 Na 0.025 0.975 0.250
4 Na 0.975 0.025 0.750
5 Nd 0.500 0.500 0.000
6 Nd 0.500 0.500 0.500
7 Se 0.136 0.864 0.052
8 Se 0.136 0.864 0.448
9 Se 0.418 0.582 0.250
10 Se 0.582 0.418 0.750
11 Se 0.864 0.136 0.552
12 Se 0.864 0.136 0.948

---

Q: Among the records above, which one has the lowest size of the total moment?
A: BaNaNdSe3

---

Q: Look up the calculated total energy of the fifth one.
A: -7.678 eV per atom